No. 1
First-principles (GGA-PBE) data for a relaxed CeMg3Ir8 crystal, as listed in the Alexandria database.

- D(E_F) (states/eV per cell) = 11.8
- calculated volume (Å³/cell) = 207.4
- size of the total moment (μB/cell) = 0.00
- DFT formation energy (kJ/mol of atoms) = -36
- symmetry = R3m, No. 160

a b c (Å): 5.2673 5.2673 9.1522
angles (deg): 73.28 73.28 60.00
Last column: nearest neighbours and their distance in Å.
Sites, in units of the cell vectors:
Ir (0.4390, 0.9386, 0.1833)  6 Ir 2.62-2.67
Mg (0.3729, 0.3729, 0.8813)  12 Ir 3.02-3.12, 4 Mg 3.07-3.17
Ir (0.9386, 0.4390, 0.1833)  6 Ir 2.62-2.67
Ce (0.8761, 0.8761, 0.3718)  12 Ir 3.09-3.13, 4 Mg 3.32-3.35
Mg (0.4915, 0.4915, 0.5255)  12 Ir 2.98-3.32, 1 Mg 3.07, 3 Ce 3.32
Ir (0.9376, 0.4366, 0.6883)  6 Ir 2.62-2.65
Ir (0.4366, 0.9376, 0.6883)  6 Ir 2.62-2.65
Mg (0.0054, 0.0054, 0.9837)  12 Ir 2.97-3.15, 3 Mg 3.17
Ir (0.1876, 0.1876, 0.4371)  6 Ir 2.65-2.67
Ir (0.6881, 0.6881, 0.9357)  6 Ir 2.62
Ir (0.4390, 0.4390, 0.1833)  6 Ir 2.62-2.67
Ir (0.9376, 0.9376, 0.6883)  6 Ir 2.62-2.65

No. 2
First-principles (GGA-PBE) data for a relaxed Ce6MgIr crystal, as listed in the Alexandria database.

- D(E_F) (states/eV per cell) = 24.2
- calculated volume (Å³/cell) = 227.1
- size of the total moment (μB/cell) = 2.71
- DFT formation energy (kJ/mol of atoms) = -3
- symmetry = C2/m, No. 12

a b c (Å): 6.2073 6.2073 6.3593
angles (deg): 101.27 101.27 102.65
Last column: nearest neighbours and their distance in Å.
Sites, in units of the cell vectors:
Mg (0.0000, 0.0000, 0.0000)  10 Ce 3.25-3.44
Ce (0.1609, 0.5827, 0.1961)  1 Ce 2.72, 1 Ir 2.77
Ce (0.8391, 0.4173, 0.8039)  1 Ce 2.72, 1 Ir 2.77
Ce (0.1828, 0.1828, 0.6045)  1 Ce 2.73, 1 Ir 2.74
Ce (0.4173, 0.8391, 0.8039)  1 Ce 2.72, 1 Ir 2.77
Ce (0.8172, 0.8172, 0.3955)  1 Ce 2.73, 1 Ir 2.74
Ir (0.5000, 0.5000, 0.5000)  6 Ce 2.74-2.77
Ce (0.5827, 0.1609, 0.1961)  1 Ce 2.72, 1 Ir 2.77

No. 3
First-principles (GGA-PBE) data for a relaxed Ce3Mg4Ir4 crystal, as listed in the Alexandria database.

- D(E_F) (states/eV per cell) = 14.3
- calculated volume (Å³/cell) = 229.8
- size of the total moment (μB/cell) = 0.78
- DFT formation energy (kJ/mol of atoms) = -51
- symmetry = Immm, No. 71

a b c (Å): 3.7598 8.0627 8.7890
angles (deg): 117.30 102.35 90.00
Last column: nearest neighbours and their distance in Å.
Sites, in units of the cell vectors:
Mg (0.3241, 0.1385, 0.6483)  4 Ir 2.69-2.75, 1 Mg 2.99
Mg (0.6759, 0.4902, 0.3517)  4 Ir 2.69-2.75, 1 Mg 2.99
Ce (0.1080, 0.1080, 0.2160)  6 Ir 2.79-3.10
Mg (0.3241, 0.5098, 0.6483)  4 Ir 2.69-2.75, 1 Mg 2.99
Ce (0.0000, 0.5000, 0.0000)  4 Ir 2.88
Ir (0.5000, 0.7709, 0.0000)  2 Mg 2.75, 2 Ce 2.88
Mg (0.6759, 0.8615, 0.3517)  4 Ir 2.69-2.75, 1 Mg 2.99
Ir (0.7437, 0.2437, 0.4874)  6 Mg 2.69-2.74, 2 Ce 2.79
Ir (0.5000, 0.2291, 0.0000)  2 Mg 2.75, 2 Ce 2.88
Ce (0.8920, 0.8920, 0.7840)  6 Ir 2.79-3.10
Ir (0.2563, 0.7563, 0.5126)  6 Mg 2.69-2.74, 2 Ce 2.79

No. 4
First-principles (GGA-PBE) data for a relaxed CeMgIr2 crystal, as listed in the Alexandria database.

- D(E_F) (states/eV per cell) = 2.9
- calculated volume (Å³/cell) = 72.1
- size of the total moment (μB/cell) = 0.00
- DFT formation energy (kJ/mol of atoms) = -47
- symmetry = P4/mmm, No. 123

a b c (Å): 3.2201 3.2201 6.9576
angles (deg): 90.00 90.00 90.00
Last column: nearest neighbours and their distance in Å.
Sites, in units of the cell vectors:
Ir (0.0000, 0.0000, 0.2241)  4 Mg 2.76, 4 Ce 2.98
Ir (0.0000, 0.0000, 0.7759)  4 Mg 2.76, 4 Ce 2.98
Ce (0.5000, 0.5000, 0.5000)  8 Ir 2.98, 4 Ce 3.22
Mg (0.5000, 0.5000, 0.0000)  8 Ir 2.76

No. 5
First-principles (GGA-PBE) data for a relaxed CeMg5Ir6 crystal, as listed in the Alexandria database.

- D(E_F) (states/eV per cell) = 3.4
- calculated volume (Å³/cell) = 193.6
- size of the total moment (μB/cell) = 0.00
- DFT formation energy (kJ/mol of atoms) = -40
- symmetry = P2/m, No. 10

a b c (Å): 4.4984 6.4320 7.0653
angles (deg): 90.00 108.70 90.00
Last column: nearest neighbours and their distance in Å.
Sites, in units of the cell vectors:
Ir (0.1690, 0.2541, 0.3368)  7 Mg 2.70-2.78, 1 Ce 2.78
Ir (0.8310, 0.2541, 0.6632)  7 Mg 2.70-2.78, 1 Ce 2.78
Mg (0.3281, 0.0000, 0.6574)  8 Ir 2.70-2.84
Ir (0.5000, 0.2606, 0.0000)  6 Mg 2.72-2.84, 2 Ce 2.80
Mg (0.3320, 0.5000, 0.6651)  8 Ir 2.71-2.75
Mg (0.6719, 0.0000, 0.3426)  8 Ir 2.70-2.84
Mg (0.6680, 0.5000, 0.3349)  8 Ir 2.71-2.75
Mg (0.0000, 0.5000, 0.0000)  8 Ir 2.73-2.75
Ir (0.1690, 0.7459, 0.3368)  7 Mg 2.70-2.78, 1 Ce 2.78
Ir (0.8310, 0.7459, 0.6632)  7 Mg 2.70-2.78, 1 Ce 2.78
Ir (0.5000, 0.7394, 0.0000)  6 Mg 2.72-2.84, 2 Ce 2.80
Ce (0.0000, 0.0000, 0.0000)  8 Ir 2.78-2.80

No. 6
First-principles (GGA-PBE) data for a relaxed CeMgIr2 crystal, as listed in the Alexandria database.

- D(E_F) (states/eV per cell) = 1.9
- calculated volume (Å³/cell) = 72.6
- size of the total moment (μB/cell) = 0.00
- DFT formation energy (kJ/mol of atoms) = -57
- symmetry = P4/mmm, No. 123

a b c (Å): 3.6982 4.4313 4.4313
angles (deg): 90.00 90.00 90.00
Last column: nearest neighbours and their distance in Å.
Sites, in units of the cell vectors:
Ir (0.0000, 0.0000, 0.5000)  4 Ce 2.89, 4 Mg 2.89, 4 Ir 3.13
Ir (0.0000, 0.5000, 0.0000)  4 Mg 2.89, 4 Ce 2.89, 4 Ir 3.13
Ce (0.5000, 0.5000, 0.5000)  8 Ir 2.89, 4 Mg 3.13
Mg (0.5000, 0.0000, 0.0000)  8 Ir 2.89, 4 Ce 3.13

No. 7
First-principles (GGA-PBE) data for a relaxed Ce3MgIr4 crystal, as listed in the Alexandria database.

- D(E_F) (states/eV per cell) = 11.5
- calculated volume (Å³/cell) = 185.1
- size of the total moment (μB/cell) = 1.16
- DFT formation energy (kJ/mol of atoms) = -35
- symmetry = Imm2, No. 44

a b c (Å): 6.5747 6.5747 6.5747
angles (deg): 85.67 114.18 131.76
Last column: nearest neighbours and their distance in Å.
Sites, in units of the cell vectors:
Ir (0.5133, 0.2599, 0.2534)  4 Ir 2.58-2.79, 1 Ce 2.68, 1 Mg 2.76
Ce (0.9324, 0.0000, 0.9324)  2 Ir 2.68
Ce (0.5813, 0.7534, 0.3347)  1 Ir 2.53
Ir (0.9936, 0.7401, 0.2534)  4 Ir 2.58-2.79, 1 Ce 2.68, 1 Mg 2.76
Ir (0.2273, 0.2442, 0.4716)  1 Ce 2.53, 1 Mg 2.64, 2 Ir 2.74
Mg (0.0944, 0.5000, 0.5944)  4 Ir 2.64-2.76
Ce (0.5813, 0.2466, 0.8279)  1 Ir 2.53
Ir (0.2273, 0.7558, 0.9831)  1 Ce 2.53, 1 Mg 2.64, 2 Ir 2.74

No. 8
First-principles (GGA-PBE) data for a relaxed Ce2MgIr crystal, as listed in the Alexandria database.

- D(E_F) (states/eV per cell) = 7.6
- calculated volume (Å³/cell) = 95.9
- size of the total moment (μB/cell) = 0.50
- energy above the lowest structure with this stoichiometry (eV/atom) = 0.000
- DFT formation energy (kJ/mol of atoms) = -34
- symmetry = P4/mmm, No. 123

a b c (Å): 3.7389 3.7389 6.8588
angles (deg): 90.00 90.00 90.00
Last column: nearest neighbours and their distance in Å.
Sites, in units of the cell vectors:
Ce (0.0000, 0.0000, 0.7920)  1 Ce 2.85, 4 Ir 3.00
Mg (0.5000, 0.5000, 0.5000)  8 Ce 3.32, 2 Ir 3.43
Ce (0.0000, 0.0000, 0.2080)  1 Ce 2.85, 4 Ir 3.00
Ir (0.5000, 0.5000, 0.0000)  8 Ce 3.00

No. 9
First-principles (GGA-PBE) data for a relaxed CeMgNiIr crystal, as listed in the Alexandria database.

- D(E_F) (states/eV per cell) = 3.9
- calculated volume (Å³/cell) = 72.6
- size of the total moment (μB/cell) = 0.00
- DFT formation energy (kJ/mol of atoms) = -39
- symmetry = F-43m, No. 216

a b c (Å): 4.6815 4.6815 4.6815
angles (deg): 60.00 60.00 60.00
Last column: nearest neighbours and their distance in Å.
Sites, in units of the cell vectors:
Ir (0.0000, 0.0000, 0.0000)  4 Mg 2.87, 4 Ce 2.87
Ni (0.5000, 0.5000, 0.5000)  4 Ce 2.87, 4 Mg 2.87
Ce (0.2500, 0.2500, 0.2500)  4 Ni 2.87, 4 Ir 2.87
Mg (0.7500, 0.7500, 0.7500)  4 Ir 2.87, 4 Ni 2.87

No. 10
First-principles (GGA-PBE) data for a relaxed CeMgIrO6 crystal, as listed in the Alexandria database.

- formation energy (no corrections) (eV per atom) = -1.92
- D(E_F) (states/eV per cell) = 4.8
- calculated volume (Å³/cell) = 231.6
- size of the total moment (μB/cell) = 5.70
- symmetry = P4_2nm, No. 102

a b c (Å): 4.8760 4.8760 9.7415
angles (deg): 90.00 90.00 90.00
Last column: nearest neighbours and their distance in Å.
Sites, in units of the cell vectors:
O (0.6800, 0.6800, 0.9881)  1 Ir 1.96, 1 Mg 2.12
O (0.7174, 0.7174, 0.3260)  1 Ir 1.95, 1 Mg 2.17
Ir (0.0000, 0.0000, 0.3321)  6 O 1.95-1.96
Ce (0.0000, 0.0000, 0.9997)  6 O 2.21-2.27
O (0.2826, 0.2826, 0.3260)  1 Ir 1.95, 1 Mg 2.17
O (0.8200, 0.1800, 0.4881)  1 Ir 1.96, 1 Mg 2.12
O (0.6947, 0.6947, 0.6874)  1 Ir 1.95, 1 Mg 2.12
Mg (0.5000, 0.5000, 0.1651)  6 O 2.12-2.17
O (0.1947, 0.8053, 0.1874)  1 Ir 1.95, 1 Mg 2.12
O (0.7826, 0.2174, 0.8260)  1 Ir 1.95, 1 Mg 2.17
Ir (0.5000, 0.5000, 0.8321)  6 O 1.95-1.96
Mg (0.0000, 0.0000, 0.6651)  6 O 2.12-2.17
O (0.3053, 0.3053, 0.6874)  1 Ir 1.95, 1 Mg 2.12
O (0.2174, 0.7826, 0.8260)  1 Ir 1.95, 1 Mg 2.17
O (0.8053, 0.1947, 0.1874)  1 Ir 1.95, 1 Mg 2.12
Ce (0.5000, 0.5000, 0.4997)  6 O 2.21-2.27
O (0.1800, 0.8200, 0.4881)  1 Ir 1.96, 1 Mg 2.12
O (0.3200, 0.3200, 0.9881)  1 Ir 1.96, 1 Mg 2.12

No. 11
First-principles (GGA-PBE) data for a relaxed CeMgP2Ir2 crystal, as listed in the Alexandria database.

- D(E_F) (states/eV per cell) = 1.8
- calculated volume (Å³/cell) = 108.0
- size of the total moment (μB/cell) = 0.00
- DFT formation energy (kJ/mol of atoms) = -81
- symmetry = P-3m1, No. 164

a b c (Å): 4.0053 4.0053 7.7766
angles (deg): 90.00 90.00 120.00
Last column: nearest neighbours and their distance in Å.
Sites, in units of the cell vectors:
Ce (0.0000, 0.0000, 0.0000)  6 P 2.98, 6 Ir 3.18
Mg (0.0000, 0.0000, 0.5000)  6 Ir 2.87, 6 P 3.07
P (0.3333, 0.6667, 0.7589)  3 Ir 2.33
Ir (0.6667, 0.3333, 0.7185)  3 P 2.33
P (0.6667, 0.3333, 0.2411)  3 Ir 2.33
Ir (0.3333, 0.6667, 0.2815)  3 P 2.33

No. 12
First-principles (GGA-PBE) data for a relaxed CeMgIrPd crystal, as listed in the Alexandria database.

- D(E_F) (states/eV per cell) = 4.3
- calculated volume (Å³/cell) = 77.0
- size of the total moment (μB/cell) = 0.25
- DFT formation energy (kJ/mol of atoms) = -58
- symmetry = F-43m, No. 216

a b c (Å): 4.7751 4.7751 4.7751
angles (deg): 60.00 60.00 60.00
Last column: nearest neighbours and their distance in Å.
Sites, in units of the cell vectors:
Mg (0.2500, 0.2500, 0.2500)  4 Pd 2.92, 4 Ir 2.92
Ce (0.7500, 0.7500, 0.7500)  4 Ir 2.92, 4 Pd 2.92
Ir (0.0000, 0.0000, 0.0000)  4 Mg 2.92, 4 Ce 2.92
Pd (0.5000, 0.5000, 0.5000)  4 Ce 2.92, 4 Mg 2.92